Computed, not measured: a relaxed structure of LiCrO2 at the PBE+U level of DFT.

Unit cell a=5.832 b=5.832 c=5.832 alpha=29.96 beta=29.96 gamma=29.96
Site moments in Bohr magnetons follow the coordinates.
Sites, in units of the cell vectors:
Cr 0.500 0.500 0.500  3.00
Li 0.000 0.000 0.000  0.01
O 0.895 0.895 0.895  -0.04
O 0.105 0.105 0.105  -0.04

Results
Magnetization in μB per atom: 0.75
Calculated total energy in eV/atom: -6.709
Symmetry: R-3m (166)